# 1
First-principles (PBE-GGA) data for BaPrCdAu after structural relaxation, as listed in Alexandria.

Computed properties:
**Crystal system**: cubic
**E_tot**: -49.782 eV/cell

Lattice parameters (Å, degrees): 7.9224 7.9224 7.9224 90.00 90.00 90.00
Closest atoms and distances in Å follow each position.
Space group F-43m (No. 216)
Unique sites:
Ba1 0.0000 0.0000 0.0000 (multiplicity 4)  4 Cd 3.43, 4 Au 3.43
Pr1 0.0000 0.0000 0.5000 (multiplicity 4)  4 Au 3.43, 4 Cd 3.43
Cd1 0.2500 0.2500 0.2500 (multiplicity 4)  4 Ba 3.43, 4 Pr 3.43
Au1 0.2500 0.2500 0.7500 (multiplicity 4)  4 Ba 3.43, 4 Pr 3.43

***

# 2
First-principles (PBE-GGA) data for AcScSiO6 after structural relaxation, as listed in Alexandria.

Computed properties:
**Raw formation energy**: -2.622 eV per atom
**Crystal system**: trigonal
**E_tot**: -69.209 eV/cell

Lattice parameters (Å, degrees): 5.2337 5.2337 5.2469 90.00 90.00 120.00
Closest atoms and distances in Å follow each position.
Space group P312 (No. 149)
Unique sites:
Ac1 0.0000 0.0000 0.0000 (multiplicity 1)  6 O 2.53
Sc1 0.3333 0.6667 0.5000 (multiplicity 1)  6 O 2.11
Si1 0.6667 0.3333 0.5000 (multiplicity 1)  6 O 1.79
O1 0.3949 0.0449 0.6962 (multiplicity 6)  1 Si 1.79

***

# 3
First-principles (PBE-GGA) data for LaPrBr2 after structural relaxation, as listed in Alexandria.

Computed properties:
**Energy above the lowest structure with this stoichiometry**: 0.072 eV/atom
**Raw formation energy**: -1.157 eV per atom
**Crystal system**: triclinic
**E_tot**: -35.363 eV/cell

Lattice parameters (Å, degrees): 3.8088 7.3148 9.7905 90.01 90.03 90.12
Closest atoms and distances in Å follow each position.
Space group P1 (No. 1)
Unique sites:
La1 0.0000 0.0000 0.0000 (multiplicity 1)  4 Br 2.98-3.18
La2 0.4973 0.4999 0.3979 (multiplicity 1)  4 Br 2.98-3.18
Pr1 0.0007 0.8136 0.6223 (multiplicity 1)  4 Br 2.98-3.29
Pr2 0.5019 0.3136 0.7753 (multiplicity 1)  4 Br 2.98-3.29
Br1 0.0024 0.6201 0.8899 (multiplicity 1)  3 Pr 2.98-3.15, 1 La 2.98
Br2 0.5012 0.1200 0.5077 (multiplicity 1)  3 Pr 2.98-3.15, 1 La 2.98
Br3 0.5013 0.2960 0.1112 (multiplicity 1)  3 La 3.08-3.18, 1 Pr 3.29
Br4 0.9986 0.7959 0.2867 (multiplicity 1)  3 La 3.08-3.18, 1 Pr 3.29

***

# 4
First-principles (PBE-GGA) data for ScC5 after structural relaxation, as listed in Alexandria.

Computed properties:
**Energy above the lowest structure with this stoichiometry**: 0.000 eV/atom
**Crystal system**: monoclinic
**E_tot**: -98.127 eV/cell

Lattice parameters (Å, degrees): 9.2936 2.5773 4.7128 90.00 114.97 90.00
Closest atoms and distances in Å follow each position.
Space group Cm (No. 8)
Unique sites:
Sc1 0.0000 0.0000 0.0000 (multiplicity 2)  9 C 2.38-2.53, 2 Sc 2.58
C1 0.1844 0.5000 0.4201 (multiplicity 2)  2 C 1.47-1.58
C2 0.2050 0.5000 0.7473 (multiplicity 2)  3 C 1.47-1.48
C3 0.2518 0.0000 0.9162 (multiplicity 2)  3 C 1.44-1.48
C4 0.3482 0.0000 0.2478 (multiplicity 2)  3 C 1.44-1.52
C5 0.3554 0.5000 0.4224 (multiplicity 2)  3 C 1.52-1.58

***

# 5
First-principles (PBE-GGA) data for Tb2Nd3ErTm6 after structural relaxation, as listed in Alexandria.

Computed properties:
**Crystal system**: monoclinic
**E_tot**: -109.383 eV/cell

Lattice parameters (Å, degrees): 6.1605 10.6640 11.6861 90.00 100.09 90.00
Closest atoms and distances in Å follow each position.
Space group C2/m (No. 12)
Unique sites:
Tb1 0.0000 0.1666 0.0000 (multiplicity 4)  6 Tm 3.50, 3 Tb 3.55-3.56, 3 Er 3.56
Nd1 0.0000 0.0000 0.5000 (multiplicity 2)  6 Nd 3.56, 6 Tm 3.57
Nd2 0.0000 0.3334 0.5000 (multiplicity 4)  6 Nd 3.55-3.56, 6 Tm 3.56-3.57
Er1 0.0000 0.5000 0.0000 (multiplicity 2)  6 Tm 3.50, 6 Tb 3.56
Tm1 0.2490 0.0000 0.2466 (multiplicity 4)  1 Er 3.50, 2 Tb 3.50, 6 Tm 3.55-3.56, 3 Nd 3.57
Tm2 0.2487 0.3334 0.2466 (multiplicity 8)  1 Er 3.50, 2 Tb 3.50, 6 Tm 3.55-3.56, 3 Nd 3.56-3.57

***

# 6
First-principles (PBE-GGA) data for PmSO after structural relaxation, as listed in Alexandria.

Computed properties:
**Energy above the lowest structure with this stoichiometry**: 0.154 eV/atom
**Raw formation energy**: -1.956 eV per atom
**Crystal system**: monoclinic
**E_tot**: -78.815 eV/cell

Lattice parameters (Å, degrees): 10.2825 3.7138 8.4090 90.00 106.11 90.00
Closest atoms and distances in Å follow each position.
Space group C2/m (No. 12)
Unique sites:
Pm1 0.0933 0.0000 0.2936 (multiplicity 4)  2 O 2.15
S1 0.0929 0.5000 0.5953 (multiplicity 4)  1 S 2.13
O1 0.1344 0.5000 0.1890 (multiplicity 4)  2 Pm 2.15

***

# 7
First-principles (PBE-GGA) data for LiSmGe2Pt5 after structural relaxation, as listed in Alexandria.

Computed properties:
**Crystal system**: tetragonal
**E_tot**: -52.602 eV/cell

Lattice parameters (Å, degrees): 4.1657 4.1657 9.3840 90.00 90.00 90.00
Closest atoms and distances in Å follow each position.
Space group P4/mmm (No. 123)
Unique sites:
Li1 0.0000 0.0000 0.0000 (multiplicity 1)  8 Ge 3.19, 8 Pt 3.29
Sm1 0.0000 0.0000 0.5000 (multiplicity 1)  12 Pt 2.95-2.99
Ge1 0.5000 0.5000 0.1303 (multiplicity 2)  1 Ge 2.45, 4 Pt 2.47
Pt1 0.0000 0.5000 0.2716 (multiplicity 4)  2 Ge 2.47
Pt2 0.5000 0.5000 0.5000 (multiplicity 1)  4 Sm 2.95, 8 Pt 2.99

***

# 8
First-principles (PBE-GGA) data for CdAu2Cl after structural relaxation, as listed in Alexandria.

Computed properties:
**Energy above the lowest structure with this stoichiometry**: 0.282 eV/atom
**Raw formation energy**: 0.024 eV per atom
**Crystal system**: orthorhombic
**E_tot**: -9.220 eV/cell

Lattice parameters (Å, degrees): 3.7744 3.8363 5.7134 90.00 90.00 90.00
Closest atoms and distances in Å follow each position.
Space group Pmmm (No. 47)
Unique sites:
Cd1 0.0000 0.0000 0.0000 (multiplicity 1)  2 Cl 2.86, 8 Au 3.02
Au1 0.5000 0.5000 0.2393 (multiplicity 2)  2 Au 2.73-2.98, 4 Cd 3.02
Cl1 0.0000 0.0000 0.5000 (multiplicity 1)  2 Cd 2.86, 8 Au 3.08

***

# 9
First-principles (PBE-GGA) data for Ce2NbInN5 after structural relaxation, as listed in Alexandria.

Computed properties:
**Raw formation energy**: -0.867 eV per atom
**Crystal system**: orthorhombic
**E_tot**: -296.414 eV/cell

Lattice parameters (Å, degrees): 3.3596 14.1330 10.4413 90.00 90.00 90.00
Closest atoms and distances in Å follow each position.
Space group Cmc2_1 (No. 36)
Unique sites:
Ce1 0.0000 0.1246 0.0000 (multiplicity 4)  3 N 2.26-2.53
Ce2 0.0000 0.1319 0.5633 (multiplicity 4)  6 N 2.34-2.50
Nb1 0.0000 0.2264 0.2923 (multiplicity 4)  2 N 1.96-2.17
In1 0.0000 0.4817 0.7689 (multiplicity 4)  4 N 2.08-2.22
N1 0.0000 0.0794 0.3512 (multiplicity 4)  2 In 2.08, 1 Nb 2.17
N2 0.0000 0.2781 0.9384 (multiplicity 4)  3 Ce 2.26-2.48, 2 Nb 2.27
N3 0.0000 0.2922 0.6575 (multiplicity 4)  2 Nb 2.21, 1 Ce 2.47
N4 0.0000 0.3643 0.3099 (multiplicity 4)  1 Nb 1.96
N5 0.0000 0.4993 0.0640 (multiplicity 4)  1 In 2.16

***

Question: The highest E_tot belongs to which entry?
Answer: CdAu2Cl